TbErP, relaxed, DFT GGA-PBE; distance to the lowest polymorph of the same formula = 198.4 meV per atom; E_form = -0.77 eV per atom; E_tot = -0.414 Ry per atom; M_tot = 0.00 μB per formula unit
1.0
-1.749 1.749 6.103
1.749 -1.749 6.103
1.749 1.749 -6.103
Tb Er P
1 1 1
Direct
0.000 0.000 0.000
0.261 0.261 0.000
0.634 0.634 0.000